1.
This record from Alexandria via LeMat-Bulk describes crystalline Sn3Ge at its relaxed geometry. The functional is PBE-GGA.

- Fermi-level density of states (states/eV per cell) = 2.11
- E_tot (eV/atom) = -4.020

a = 3.2310 Å, b = 5.8194 Å, c = 5.5951 Å
α = 90.00°, β = 90.00°, γ = 90.00°
Closest atoms and distances in Å follow each position.
Space group Pmm2 (No. 25)
One atom of each set of equivalent atoms:
Sn 0.0000 0.0000 0.0000 (multiplicity 1)  2 Ge 2.96, 4 Sn 3.05-3.23
Sn 0.0000 0.5000 0.1647 (multiplicity 1)  8 Sn 3.05-3.31
Sn 0.5000 0.5000 0.6492 (multiplicity 1)  2 Ge 2.96, 6 Sn 3.16-3.31
Ge 0.5000 0.0000 0.5565 (multiplicity 1)  4 Sn 2.96, 2 Ge 3.23



2.
This record from Alexandria via LeMat-Bulk describes crystalline Ac5CuSn4 at its relaxed geometry. The functional is PBE-GGA.

- Fermi-level density of states (states/eV per cell) = 21.12
- E_tot (eV/atom) = -4.461

a = 10.6351 Å, b = 10.6351 Å, c = 6.7769 Å
α = 90.00°, β = 90.00°, γ = 90.00°
Closest atoms and distances in Å follow each position.
Space group I4 (No. 79)
One atom of each set of equivalent atoms:
Ac 0.0000 0.0000 0.0000 (multiplicity 2)  4 Sn 3.34, 2 Cu 3.38-3.39
Ac 0.0966 0.7025 0.4268 (multiplicity 8)  5 Sn 3.36-3.42, 1 Cu 3.36
Cu 0.0000 0.0000 0.5009 (multiplicity 2)  6 Ac 3.36-3.39
Sn 0.0982 0.7054 0.9229 (multiplicity 8)  6 Ac 3.34-3.42



3.
This record from Alexandria via LeMat-Bulk describes crystalline NaCe2NpAs4 at its relaxed geometry. The functional is PBE-GGA.

- Fermi-level density of states (states/eV per cell) = 14.81
- E_tot (eV/atom) = -6.509

a = 7.1762 Å, b = 4.2245 Å, c = 7.2809 Å
α = 90.00°, β = 109.31°, γ = 90.00°
Closest atoms and distances in Å follow each position.
Space group P2/m (No. 10)
One atom of each set of equivalent atoms:
Na 0.0000 0.0000 0.0000 (multiplicity 1)  6 As 3.00-3.05
Ce 0.5000 0.0000 0.5000 (multiplicity 1)  6 As 2.89-2.90
Ce 0.5000 0.5000 0.0000 (multiplicity 1)  6 As 2.99-3.01
Np 0.0000 0.5000 0.5000 (multiplicity 1)  6 As 2.91-2.94
As 0.2484 0.0000 0.7404 (multiplicity 2)  3 Ce 2.90-3.01, 2 Np 2.94, 1 Na 3.00
As 0.2600 0.5000 0.2666 (multiplicity 2)  3 Ce 2.89-2.99, 1 Np 2.91, 2 Na 3.05



4.
This record from Alexandria via LeMat-Bulk describes crystalline Ce3P2O3 at its relaxed geometry. The functional is PBE-GGA.

- Fermi-level density of states (states/eV per cell) = 5.85
- distance to the lowest polymorph of the same formula (meV per atom) = 496
- uncorrected formation energy (eV per atom) = -1.96

a = 7.4453 Å, b = 7.4453 Å, c = 2.9855 Å
α = 90.00°, β = 90.00°, γ = 120.00°
Closest atoms and distances in Å follow each position.
Space group P-62m (No. 189)
One atom of each set of equivalent atoms:
Ce 0.0000 0.7252 0.0000 (multiplicity 3)  4 O 2.37
P 0.3333 0.6667 0.5000 (multiplicity 2)  2 P 2.99, 3 O 3.09, 6 Ce 3.11
O 0.0000 0.2026 0.5000 (multiplicity 3)  4 Ce 2.37, 2 O 2.61